# HoPuSc3

A relaxed structure of HoPuSc3 (GGA-PBE, the Alexandria database).

Properties
The excess energy over the best structure of this formula in the dataset is 18 meV per atom. The value obtained for the total magnetization is 42.75 μB per cell.

Unit cell a=6.3690 b=6.3690 c=23.2233 alpha=90.00 beta=90.00 gamma=120.00
Space group R-3m (No. 166, hexagonal axes)
One atom of each set of equivalent atoms:
Ho  0.0000  0.0000  0.0761 x6
Pu  0.0000  0.0000  0.3339 x6
Sc  0.0061  0.5030  0.8845 x18

***

# HoPu2Sc6

A relaxed structure of HoPu2Sc6 (GGA-PBE, the Alexandria database).

Properties
The excess energy over the best structure of this formula in the dataset is 0 meV per atom. The value obtained for the total magnetization is 49.28 μB per cell.

Unit cell a=12.307 b=10.935 c=8.467 alpha=90.00 beta=126.75 gamma=90.00
Space group C2/c (No. 15)
One atom of each set of equivalent atoms:
Ho  0.000  0.166  0.250 x4
Pu  0.182  0.405  0.429 x8
Sc  0.045  0.372  0.969 x8
Sc  0.105  0.094  0.692 x8
Sc  0.232  0.155  0.143 x8

***

# HoPuSc2

A relaxed structure of HoPuSc2 (GGA-PBE, the Alexandria database).

Properties
The excess energy over the best structure of this formula in the dataset is 0 meV per atom. The value obtained for the total magnetization is 12.77 μB per cell.

Unit cell a=6.649 b=4.732 c=6.706 alpha=90.00 beta=90.06 gamma=90.00
Space group P2/m (No. 10)
One atom of each set of equivalent atoms:
Ho  0.250  0.000  0.001 x2
Pu  0.250  0.000  0.500 x2
Sc  0.000  0.500  0.259 x2
Sc  0.500  0.500  0.259 x2

***

# Ho2PuSc

A relaxed structure of Ho2PuSc (GGA-PBE, the Alexandria database).

Properties
The excess energy over the best structure of this formula in the dataset is 155 meV per atom. The value obtained for the total magnetization is 18.98 μB per cell.

Unit cell a=3.3638 b=3.3638 c=35.6011 alpha=90.00 beta=90.00 gamma=120.00
Space group R-3m (No. 166, hexagonal axes)
One atom of each set of equivalent atoms:
Ho  0.0000  0.0000  0.0912 x6
Pu  0.0000  0.0000  0.0000 x3
Sc  0.0000  0.0000  0.5000 x3

***

# HoPuSc2

A relaxed structure of HoPuSc2 (GGA-PBE, the Alexandria database).

Properties
The excess energy over the best structure of this formula in the dataset is 45 meV per atom. The value obtained for the total magnetization is 6.12 μB per cell.

Unit cell a=5.352 b=5.352 c=3.690 alpha=90.00 beta=90.00 gamma=90.00
Space group P4/mmm (No. 123)
One atom of each set of equivalent atoms:
Ho  0.000  0.000  0.000 x1
Pu  0.500  0.500  0.000 x1
Sc  0.000  0.500  0.500 x2

***

# Ho5PuSc4

A relaxed structure of Ho5PuSc4 (GGA-PBE, the Alexandria database).

Properties
The value obtained for the total magnetization is 11.41 μB per cell. For the total energy, the calculation gives -117.99 eV for the cell shown.

Unit cell a=10.358 b=10.358 c=5.324 alpha=90.00 beta=90.00 gamma=90.00
Space group I4/mmm (No. 139)
One atom of each set of equivalent atoms:
Ho  0.000  0.000  0.000 x2
Ho  0.187  0.187  0.500 x8
Pu  0.000  0.000  0.500 x2
Sc  0.000  0.333  0.000 x8